No. 1
Computed, not measured: a geometry-optimized HfScSi2F structure at the GGA-PBE level of DFT.

Results
- Total DFT energy (no corrections): -6.2693 eV per atom

a = 5.108 Å, b = 3.801 Å, c = 5.108 Å
α = 90.00°, β = 90.00°, γ = 90.00°
Sites, in units of the cell vectors:
Si 0.000 0.000 0.500
Si 0.500 0.000 0.000
F 0.000 0.500 0.000
Sc 0.000 0.000 0.000
Hf 0.500 0.500 0.500

---

No. 2
Computed, not measured: a geometry-optimized HfScTe2F structure at the GGA-PBE level of DFT.

Results
- Total DFT energy (no corrections): -6.0929 eV per atom

a = 5.629 Å, b = 4.047 Å, c = 5.629 Å
α = 90.00°, β = 90.00°, γ = 90.00°
Last column: magnetic moment on the atom in μB.
Sites, in units of the cell vectors:
Sc 0.500 0.500 0.500  0.78
Te 0.500 0.000 0.000  -0.02
Hf 0.000 0.000 0.000  0.14
F 0.000 0.500 0.000  0.01
Te 0.000 0.000 0.500  -0.02

---

No. 3
Computed, not measured: a geometry-optimized Hf3SeF structure at the GGA-PBE level of DFT.

Results
- Total DFT energy (no corrections): -7.3530 eV per atom

a = 4.513 Å, b = 4.513 Å, c = 4.513 Å
α = 90.00°, β = 90.00°, γ = 90.00°
Last column: magnetic moment on the atom in μB.
Sites, in units of the cell vectors:
Se 0.500 0.500 0.500  0.00
Hf 0.500 0.000 0.000  0.14
F 0.000 0.000 0.000  0.01
Hf 0.000 0.500 0.000  0.12
Hf 0.000 0.000 0.500  0.09

---

No. 4
Computed, not measured: a geometry-optimized HfSeF3 structure at the GGA-PBE level of DFT.

Results
- Total DFT energy (no corrections): -4.0226 eV per atom

a = 4.449 Å, b = 4.449 Å, c = 4.449 Å
α = 90.00°, β = 90.00°, γ = 90.00°
Sites, in units of the cell vectors:
Se 0.000 0.000 0.000
F 0.000 0.500 0.000
F 0.500 0.000 0.000
Hf 0.500 0.500 0.500
F 0.000 0.000 0.500

---

No. 5
Computed, not measured: a geometry-optimized HfSe3F structure at the GGA-PBE level of DFT.

Results
- Total DFT energy (no corrections): -4.3559 eV per atom

a = 4.599 Å, b = 4.599 Å, c = 4.599 Å
α = 90.00°, β = 90.00°, γ = 90.00°
Sites, in units of the cell vectors:
F 0.000 0.000 0.000
Se 0.000 0.000 0.500
Hf 0.500 0.500 0.500
Se 0.000 0.500 0.000
Se 0.500 0.000 0.000

---

No. 6
Computed, not measured: a geometry-optimized HfSe3F structure at the GGA-PBE level of DFT.

Results
- Total DFT energy (no corrections): -4.8764 eV per atom

a = 5.128 Å, b = 5.128 Å, c = 5.128 Å
α = 90.00°, β = 90.00°, γ = 90.00°
Sites, in units of the cell vectors:
Hf 0.000 0.000 0.000
Se 0.000 0.500 0.000
Se 0.500 0.000 0.000
Se 0.000 0.000 0.500
F 0.500 0.500 0.500

---

No. 7
Computed, not measured: a geometry-optimized Hf2SeF structure at the GGA-PBE level of DFT.

Results
- Total DFT energy (no corrections): -7.3598 eV per atom

a = 6.863 Å, b = 6.863 Å, c = 5.700 Å
α = 52.98°, β = 52.98°, γ = 90.00°
Sites, in units of the cell vectors:
Hf 0.206 0.625 0.250
Se 0.000 0.000 0.000
Hf 0.375 0.456 0.750
F 0.500 0.500 0.000
Hf 0.875 0.794 0.750
F 0.250 0.750 0.500
Hf 0.544 0.125 0.250
Se 0.750 0.250 0.500

---

No. 8
Computed, not measured: a geometry-optimized Hf2SeF structure at the GGA-PBE level of DFT.

Results
- Total DFT energy (no corrections): -7.2421 eV per atom

a = 4.531 Å, b = 4.531 Å, c = 4.531 Å
α = 60.00°, β = 60.00°, γ = 60.00°
Sites, in units of the cell vectors:
Hf 0.250 0.250 0.250
F 0.000 0.000 0.000
Hf 0.750 0.750 0.750
Se 0.500 0.500 0.500

---

No. 9
Computed, not measured: a geometry-optimized HfSeF3 structure at the GGA-PBE level of DFT.

Results
- Total DFT energy (no corrections): -6.7006 eV per atom

a = 5.431 Å, b = 6.038 Å, c = 5.306 Å
α = 98.82°, β = 92.92°, γ = 81.34°
Sites, in units of the cell vectors:
F 0.892 0.695 0.005
F 0.381 0.686 0.450
F 0.963 0.975 0.507
F 0.867 0.585 0.501
F 0.588 0.259 0.318
Hf 0.112 0.771 0.732
Se 0.332 0.310 0.790
Se 0.053 0.194 0.059
Hf 0.639 0.515 0.169
F 0.428 0.773 0.977

---

No. 10
Computed, not measured: a geometry-optimized HfSeF3 structure at the GGA-PBE level of DFT.

Results
- Total DFT energy (no corrections): -6.0870 eV per atom

a = 4.221 Å, b = 4.221 Å, c = 4.221 Å
α = 90.00°, β = 90.00°, γ = 90.00°
Last column: magnetic moment on the atom in μB.
Sites, in units of the cell vectors:
F 0.000 0.500 0.000  0.03
F 0.000 0.000 0.500  0.02
Se 0.500 0.500 0.500  0.57
Hf 0.000 0.000 0.000  -0.04
F 0.500 0.000 0.000  0.06

---

No. 11
Computed, not measured: a geometry-optimized HfTc2SeF structure at the GGA-PBE level of DFT.

Results
- Total DFT energy (no corrections): -6.9908 eV per atom

a = 4.043 Å, b = 4.043 Å, c = 5.104 Å
α = 90.00°, β = 90.00°, γ = 90.00°
Last column: magnetic moment on the atom in μB.
Sites, in units of the cell vectors:
Tc 0.000 0.500 0.000  1.28
Tc 0.500 0.000 0.000  1.28
F 0.000 0.000 0.000  0.01
Se 0.000 0.000 0.500  0.11
Hf 0.500 0.500 0.500  -0.11

---

No. 12
Computed, not measured: a geometry-optimized HfTlSe2F structure at the GGA-PBE level of DFT.

Results
- Total DFT energy (no corrections): -5.9029 eV per atom

a = 3.845 Å, b = 8.148 Å, c = 8.951 Å
α = 107.10°, β = 90.00°, γ = 90.00°
Sites, in units of the cell vectors:
Hf 0.750 0.173 0.176
Tl 0.750 0.279 0.689
Se 0.750 0.820 0.038
F 0.250 0.576 0.755
Se 0.250 0.180 0.962
Se 0.250 0.139 0.369
Se 0.750 0.861 0.631
F 0.750 0.424 0.245
Hf 0.250 0.827 0.824
Tl 0.250 0.721 0.311

---

No. 13
Computed, not measured: a geometry-optimized HfTlSe2F structure at the GGA-PBE level of DFT.

Results
- Total DFT energy (no corrections): -5.8146 eV per atom

a = 5.299 Å, b = 5.299 Å, c = 4.205 Å
α = 90.00°, β = 90.00°, γ = 90.00°
Sites, in units of the cell vectors:
F 0.000 0.000 0.500
Tl 0.500 0.500 0.500
Hf 0.000 0.000 0.000
Se 0.500 0.000 0.000
Se 0.000 0.500 0.000